This record from Alexandria via LeMat-Bulk describes MgSc2Tl after structural relaxation. The functional is PBE.

a b c (Å): 11.6144 3.5633 5.0034
angles (deg): 90.00 115.37 90.00
With the nearest neighbours (Å) after each atom.
Space group Cm (No. 8)
Symmetry-distinct sites (fractional):
Mg 0.0000 0.0000 0.0000 x2  2 Tl 2.97, 6 Sc 3.08-3.28
Sc 0.2374 0.0000 0.7394 x2  4 Tl 3.07, 2 Sc 3.22, 2 Mg 3.28
Sc 0.4814 0.0000 0.4819 x2  4 Mg 3.08, 2 Tl 3.21, 2 Sc 3.22
Tl 0.2265 0.5000 0.2287 x2  2 Mg 2.97, 6 Sc 3.07-3.21

Summary:
DOS(E_F): 1.171 states/eV per atom
Calculated total energy: -4.2868 eV/atom
Theoretical density: 5.66 Mg/m³
Total magnetization: 0.0 μB per cell

***

This record from Alexandria via LeMat-Bulk describes Mg3ScTl after structural relaxation. The functional is PBE.

a b c (Å): 5.7094 5.7094 5.7094
angles (deg): 90.00 90.00 90.00
With the nearest neighbours (Å) after each atom.
Space group Pm-3m (No. 221)
Symmetry-distinct sites (fractional):
Mg 0.0000 0.0000 0.5000 x3  2 Sc 2.85
Sc 0.0000 0.0000 0.0000 x1  6 Mg 2.85
Tl 0.5000 0.5000 0.5000 x1  12 Mg 4.04

Summary:
DOS(E_F): 1.580 states/eV per atom
Calculated total energy: -1.8923 eV/atom
Theoretical density: 2.88 Mg/m³
Total magnetization: 0.4 μB per cell